Entry 1:
RbNbCrF6 | PBE with a Hubbard U | optimized geometry

```
18
Lattice="8.1100 0.0000 0.0000 0.0000 6.9156 0.0000 -4.0550 -3.4578 5.4339" Properties=species:S:1:pos:R:3 pbc="T T T"
F -1.5567 -0.2701 4.0865
Cr -2.0275 -1.7289 2.7169
F 4.0550 -1.7289 3.7303
F 0.0000 1.7289 4.1591
F 0.0000 5.1867 1.7035
F 5.6117 -0.2701 1.3474
Nb 4.0550 0.0000 0.0000
F 5.6117 3.7279 1.3474
Cr 2.0275 -1.7289 2.7169
F 4.0550 1.7289 1.2748
F -1.5567 3.7279 4.0865
Rb 4.0550 1.7289 4.2262
F 2.4983 3.7279 1.3474
F 1.5567 3.7279 4.0865
Rb 0.0000 1.7289 1.2077
F 2.4983 -0.2701 1.3474
Nb 4.0550 3.4578 0.0000
F 1.5567 -0.2701 4.0865
```

Symmetry: Imma, No. 74
DOS(E_F), states/eV/cell: 5.7
Uncorrected energy, eV per atom: -5.92

***

Entry 2:
NbCrReF2 | PBE with a Hubbard U | optimized geometry

```
5
Lattice="4.0120 0.0000 0.0000 0.0000 5.3541 0.0000 0.0000 0.0000 4.0120" Properties=species:S:1:pos:R:3 pbc="T T T"
Nb 2.0060 2.6771 2.0060
F 0.0000 0.0000 2.0060
Re 0.0000 0.0000 0.0000
F 2.0060 0.0000 0.0000
Cr 0.0000 2.6771 0.0000
```

Symmetry: P4/mmm, No. 123
DOS(E_F), states/eV/cell: 6.0
Uncorrected energy, eV per atom: -6.29

***

Entry 3:
NbCrRuF2 | PBE with a Hubbard U | optimized geometry

```
5
Lattice="4.0990 0.0000 0.0000 0.0000 5.0538 0.0000 0.0000 0.0000 4.0990" Properties=species:S:1:pos:R:3 pbc="T T T"
Nb 0.0000 2.5269 0.0000
F 0.0000 0.0000 2.0495
F 2.0495 0.0000 0.0000
Cr 2.0495 2.5269 2.0495
Ru 0.0000 0.0000 0.0000
```

Symmetry: P4/mmm, No. 123
DOS(E_F), states/eV/cell: 3.7
Uncorrected energy, eV per atom: -6.11

***

Entry 4:
NbCr2SnF | PBE with a Hubbard U | optimized geometry

```
5
Lattice="-3.2608 -2.5947 1.5848 3.0699 -2.8574 1.6383 0.0617 2.2670 3.8384" Properties=species:S:1:pos:R:3 pbc="T T T"
Sn -0.0646 -1.5925 3.5308
Cr 0.0308 1.1335 1.9192
F 0.0000 0.0000 0.0000
Cr -1.6304 -1.2973 0.7924
Nb 1.5349 -1.4287 0.8191
```

Symmetry: P4/mmm, No. 123
DOS(E_F), states/eV/cell: 3.4
Uncorrected energy, eV per atom: -6.22

***

Entry 5:
Nb2CrTeF | PBE with a Hubbard U | optimized geometry

```
5
Lattice="-0.2185 0.7127 4.9525 -2.5075 -2.8350 0.2973 3.7541 -3.2540 0.6339" Properties=species:S:1:pos:R:3 pbc="T T T"
Te 0.5141 -2.6881 2.9419
F -1.2537 -1.4175 0.1487
Cr 0.0000 0.0000 0.0000
Nb -0.1093 0.3563 2.4763
Nb 1.8770 -1.6270 0.3169
```

Symmetry: P4/mmm, No. 123
DOS(E_F), states/eV/cell: 4.5
Uncorrected energy, eV per atom: -6.23

***

Entry 6:
ZrNb2CrF | PBE with a Hubbard U | optimized geometry

```
5
Lattice="-3.7046 -1.6880 -3.0327 1.2717 -3.4847 0.3862 -3.0084 -0.6505 4.0370" Properties=species:S:1:pos:R:3 pbc="T T T"
Cr 0.0000 0.0000 0.0000
Nb -1.5042 -0.3252 2.0185
Nb -1.8523 -0.8440 -1.5164
F 0.6358 -1.7423 0.1931
Zr -2.7207 -2.9116 0.6952
```

Symmetry: P4/mmm, No. 123
DOS(E_F), states/eV/cell: 7.1
Uncorrected energy, eV per atom: -7.02